Record 1
A relaxed CaPu3Bi12 crystal, computed with PBE.

Cell lengths 4.9040, 4.9040, 20.1741 Å; angles 90.00, 90.00, 90.00 degrees
Space group P4/mmm (No. 123)
Symmetry-distinct sites (fractional):
Ca  0.0000  0.0000  0.0000 (multiplicity 1)
Pu  0.0000  0.0000  0.2553 (multiplicity 2)
Pu  0.0000  0.0000  0.5000 (multiplicity 1)
Bi  0.0000  0.5000  0.1289 (multiplicity 4)
Bi  0.0000  0.5000  0.3767 (multiplicity 4)
Bi  0.5000  0.5000  0.0000 (multiplicity 1)
Bi  0.5000  0.5000  0.2519 (multiplicity 2)
Bi  0.5000  0.5000  0.5000 (multiplicity 1)

## Properties
Magnetization (μB/f.u.): 5.64
VASP energy (eV/atom): -6.0170
Volume (Å³/cell): 485.2
Energy of formation (meV/atom): -294


Record 2
A relaxed Pr3Al3Au8 crystal, computed with PBE.

Cell lengths 16.4932, 4.6684, 9.0805 Å; angles 90.00, 122.36, 90.00 degrees
Space group C2/m (No. 12)
Symmetry-distinct sites (fractional):
Pr  0.0000  0.0000  0.0000 (multiplicity 2)
Pr  0.2072  0.5000  0.7313 (multiplicity 4)
Al  0.0000  0.0000  0.5000 (multiplicity 2)
Al  0.1675  0.5000  0.3297 (multiplicity 4)
Au  0.0100  0.5000  0.3409 (multiplicity 4)
Au  0.1252  0.0000  0.8352 (multiplicity 4)
Au  0.1437  0.0000  0.4341 (multiplicity 4)
Au  0.1454  0.5000  0.0334 (multiplicity 4)

## Properties
Offset from the most stable computed form (kJ per mole of atoms): 0.00
Magnetization (μB/f.u.): 0.00
VASP energy (eV/atom): -4.4055
Volume (Å³/cell): 590.6
Energy of formation (meV/atom): -707


Record 3
A relaxed TbDy6Ho2Th3 crystal, computed with PBE.

Cell lengths 6.1675, 10.6765, 11.7160 Å; angles 90.00, 100.12, 90.00 degrees
Space group C2/m (No. 12)
Symmetry-distinct sites (fractional):
Tb  0.0000  0.0000  0.0000 (multiplicity 2)
Dy  0.2492  0.0000  0.7467 (multiplicity 4)
Dy  0.2490  0.3333  0.7468 (multiplicity 8)
Ho  0.0000  0.3333  0.0000 (multiplicity 4)
Th  0.0000  0.1666  0.5000 (multiplicity 4)
Th  0.0000  0.5000  0.5000 (multiplicity 2)

## Properties
Magnetization (μB/f.u.): 0.00
VASP energy (eV/atom): -5.2817
Volume (Å³/cell): 759.5
Energy of formation (meV/atom): 23


Record 4
A relaxed SiPb2Br crystal, computed with PBE.

Cell lengths 3.6940, 4.9752, 6.1562 Å; angles 90.00, 90.00, 90.00 degrees
Space group Pmmm (No. 47)
Symmetry-distinct sites (fractional):
Si  0.0000  0.0000  0.0000 (multiplicity 1)
Pb  0.0000  0.5000  0.5000 (multiplicity 1)
Pb  0.5000  0.5000  0.0000 (multiplicity 1)
Br  0.5000  0.0000  0.5000 (multiplicity 1)

## Properties
Offset from the most stable computed form (kJ per mole of atoms): 30.75
Magnetization (μB/f.u.): 0.00
VASP energy (eV/atom): -3.3741
Formation energy from raw total energies (eV/atom): 0.254
Volume (Å³/cell): 113.1


Record 5
A relaxed YEr2TcN4 crystal, computed with PBE.

Cell lengths 3.3931, 11.5148, 11.4961 Å; angles 90.00, 90.00, 90.00 degrees
Space group Cmcm (No. 63)
Symmetry-distinct sites (fractional):
Y  0.0000  0.1323  0.2500 (multiplicity 4)
Er  0.0000  0.3685  0.0393 (multiplicity 8)
Tc  0.0000  0.1327  0.7500 (multiplicity 4)
N  0.0000  0.0000  0.0000 (multiplicity 4)
N  0.0000  0.2631  0.6289 (multiplicity 8)
N  0.0000  0.4520  0.2500 (multiplicity 4)

## Properties
Magnetization (μB/f.u.): 0.00
VASP energy (eV/atom): -8.5288
Formation energy from raw total energies (eV/atom): -1.122
Volume (Å³/cell): 449.2


Record 6
A relaxed LiPaPtPb crystal, computed with PBE.

Cell lengths 6.9110, 6.9110, 6.9110 Å; angles 90.00, 90.00, 90.00 degrees
Space group F-43m (No. 216)
Symmetry-distinct sites (fractional):
Li  0.0000  0.0000  0.0000 (multiplicity 4)
Pa  0.2500  0.2500  0.7500 (multiplicity 4)
Pt  0.0000  0.0000  0.5000 (multiplicity 4)
Pb  0.2500  0.2500  0.2500 (multiplicity 4)

## Properties
Magnetization (μB/f.u.): 0.00
VASP energy (eV/atom): -5.6272
Volume (Å³/cell): 330.1
Energy of formation (meV/atom): -337


Record 7
A relaxed CaCdPd crystal, computed with PBE.

Cell lengths 10.2649, 4.6720, 5.7690 Å; angles 90.00, 94.35, 90.00 degrees
Space group Cm (No. 8)
Symmetry-distinct sites (fractional):
Ca  0.0000  0.0000  0.0000 (multiplicity 2)
Ca  0.0758  0.5000  0.4819 (multiplicity 2)
Cd  0.2773  0.0000  0.7633 (multiplicity 2)
Cd  0.3685  0.5000  0.4783 (multiplicity 2)
Pd  0.2035  0.5000  0.9988 (multiplicity 2)
Pd  0.2721  0.0000  0.2611 (multiplicity 2)

## Properties
Magnetization (μB/f.u.): 0.00
VASP energy (eV/atom): -3.2029
Volume (Å³/cell): 275.9
Energy of formation (meV/atom): -500


Record 8
A relaxed InSbP2O crystal, computed with PBE.

Cell lengths 5.1668, 5.1668, 3.9505 Å; angles 90.00, 90.00, 90.00 degrees
Space group P4/mmm (No. 123)
Symmetry-distinct sites (fractional):
In  0.0000  0.0000  0.0000 (multiplicity 1)
Sb  0.5000  0.5000  0.5000 (multiplicity 1)
P  0.0000  0.5000  0.5000 (multiplicity 2)
O  0.5000  0.5000  0.0000 (multiplicity 1)

## Properties
Offset from the most stable computed form (kJ per mole of atoms): 0.00
Magnetization (μB/f.u.): 0.00
VASP energy (eV/atom): -4.2942
Formation energy from raw total energies (eV/atom): 0.234
Volume (Å³/cell): 105.5


Which mass density belongs to each record? In order, 11.2, 11.7, 9.4, 7.7, 8.5, 12.9, 6.2, 5.0 g/cm3.